1.
4
Lattice="3.238 0.000 0.000 0.000 3.238 0.000 0.000 0.000 7.351" Properties=species:S:1:pos:R:3 comment="GGA-PBE As2PtCl, relaxed" polymorph_energy_ev_per_atom=0.308 raw_formation_energy_ev_per_atom=-0.047 e_tot_ev_per_cell=-17.4 total_magnetization_mub_per_fu=0.000 pbc="T T T"
As 0.000 0.000 1.475
As 0.000 0.000 5.875
Pt 1.619 1.619 0.000
Cl 1.619 1.619 3.675

=====

2.
15
Lattice="4.508 2.603 6.839 -4.508 2.603 6.839 0.000 -5.205 6.839" Properties=species:S:1:pos:R:3 comment="GGA-PBE Y6Ho8Er, relaxed" ef_ev_per_atom=0.122 e_tot_ev_per_cell=-78.1 total_magnetization_mub_per_fu=0.000 pbc="T T T"
Y -3.102 -1.163 9.419
Y -0.544 -3.268 11.097
Y -2.558 2.105 11.097
Y 2.558 -2.105 9.419
Y 0.544 3.268 9.419
Y 3.102 1.163 11.097
Ho 0.000 0.000 1.565
Ho -0.110 -1.965 7.353
Ho -1.647 1.078 7.353
Ho -1.757 -0.887 13.162
Ho 1.757 0.887 7.353
Ho 1.647 -1.078 13.162
Ho 0.110 1.965 13.162
Ho 0.000 0.000 18.951
Er 0.000 0.000 10.258